{"formula": "RbNa2HfS", "functional": "GGA-PBE", "state": "relaxed", "cell": [[5.4840, 0.0000, 0.0000], [0.0000, 5.4840, 0.0000], [0.0000, 0.0000, 5.7017]], "species": ["Rb", "Na", "Na", "Hf", "S"], "frac_coords": [[0.0000, 0.0000, 0.0000], [0.0000, 0.5000, 0.0000], [0.5000, 0.0000, 0.0000], [0.5000, 0.5000, 0.5000], [0.0000, 0.0000, 0.5000]], "sg": "P4/mmm, No. 123"}

=====

{"formula": "LaIO2", "functional": "GGA-PBE", "state": "relaxed", "cell": [[-3.0933, 3.0933, 5.6058], [3.0933, -3.0933, 5.6058], [3.0933, 3.0933, -5.6058]], "species": ["La", "La", "I", "I", "O", "O", "O", "O"], "frac_coords": [[0.0000, 0.0000, 0.0000], [0.7500, 0.2500, 0.5000], [0.2500, 0.7500, 0.5000], [0.5000, 0.5000, 0.0000], [0.0217, 0.6250, 0.8967], [0.3750, 0.2717, 0.3967], [0.7283, 0.1250, 0.1033], [0.8750, 0.9783, 0.6033]], "sg": "I-42d, No. 122"}

=====

Number 1: V 171 Å³/cell, uncorrected energy -2.477 eV per atom. Number 2: V 215 Å³/cell, uncorrected energy -5.646 eV per atom.